[1]
MgMo2O7: single point on PBEsol structure, SCAN.

```
data_MgMo2O7
_chemical_formula_sum 'Mg4 Mo8 O28'
_space_group_name_H-M_alt 'P 1 21/c 1'
_space_group_IT_number 14
_cell_length_a 8.152
_cell_length_b 5.714
_cell_length_c 14.975
_cell_angle_alpha 90.00
_cell_angle_beta 114.83
_cell_angle_gamma 90.00
loop_
_space_group_symop_operation_xyz
'x,y,z'
'-x,-y,-z'
'-x,y+1/2,-z+1/2'
'x,-y+1/2,z+1/2'
loop_
_atom_site_label
_atom_site_type_symbol
_atom_site_fract_x
_atom_site_fract_y
_atom_site_fract_z
Mg1 Mg 0.013 0.129 0.410
Mo1 Mo 0.248 0.627 0.364
Mo2 Mo 0.292 0.135 0.126
O1 O 0.113 0.611 0.240
O2 O 0.138 0.134 0.565
O3 O 0.178 0.629 0.597
O4 O 0.194 0.105 0.924
O5 O 0.197 0.617 0.908
O6 O 0.355 0.178 0.248
O7 O 0.493 0.628 0.392
```

- Theoretical density: 3.44 g cm⁻³
- ΔE_f (raw): -2334.7 meV/atom


[2]
BaZn3Cu: single point on PBEsol structure, SCAN.

```
data_BaZn3Cu
_chemical_formula_sum 'Ba1 Zn3 Cu1'
_space_group_name_H-M_alt 'P m -3 m'
_space_group_IT_number 221
_space_group_name_Hall '-P 4 2 3'
_cell_length_a 4.736
_cell_length_b 4.736
_cell_length_c 4.736
_cell_angle_alpha 90.00
_cell_angle_beta 90.00
_cell_angle_gamma 90.00
loop_
_atom_site_label
_atom_site_type_symbol
_atom_site_fract_x
_atom_site_fract_y
_atom_site_fract_z
Ba1 Ba 0.000 0.000 0.000
Zn1 Zn 0.000 0.500 0.500
Cu1 Cu 0.500 0.500 0.500
```

- DFT formation energy: -0.092 eV per atom
- Theoretical density: 6.21 g cm⁻³


[3]
MnAl3Pt: single point on PBEsol structure, SCAN.

```
data_MnAl3Pt
_chemical_formula_sum 'Mn1 Al3 Pt1'
_space_group_name_H-M_alt 'P m -3 m'
_space_group_IT_number 221
_space_group_name_Hall '-P 4 2 3'
_cell_length_a 4.368
_cell_length_b 4.368
_cell_length_c 4.368
_cell_angle_alpha 90.00
_cell_angle_beta 90.00
_cell_angle_gamma 90.00
loop_
_atom_site_label
_atom_site_type_symbol
_atom_site_fract_x
_atom_site_fract_y
_atom_site_fract_z
Mn1 Mn 0.000 0.000 0.000
Al1 Al 0.000 0.000 0.500
Pt1 Pt 0.500 0.500 0.500
```

- DFT formation energy: 0.459 eV per atom
- Theoretical density: 6.59 g cm⁻³


[4]
SrSb3N: single point on PBEsol structure, SCAN.

```
data_SrSb3N
_chemical_formula_sum 'Sr1 Sb3 N1'
_space_group_name_H-M_alt 'P m -3 m'
_space_group_IT_number 221
_space_group_name_Hall '-P 4 2 3'
_cell_length_a 5.957
_cell_length_b 5.957
_cell_length_c 5.957
_cell_angle_alpha 90.00
_cell_angle_beta 90.00
_cell_angle_gamma 90.00
loop_
_atom_site_label
_atom_site_type_symbol
_atom_site_fract_x
_atom_site_fract_y
_atom_site_fract_z
Sr1 Sr 0.000 0.000 0.000
Sb1 Sb 0.000 0.000 0.500
N1 N 0.500 0.500 0.500
```

- Theoretical density: 3.67 g cm⁻³
- ΔE_f (raw): 1739.7 meV/atom


[5]
Y3CoO: single point on PBEsol structure, SCAN.

```
data_Y3CoO
_chemical_formula_sum 'Y3 Co1 O1'
_space_group_name_H-M_alt 'P m -3 m'
_space_group_IT_number 221
_space_group_name_Hall '-P 4 2 3'
_cell_length_a 5.013
_cell_length_b 5.013
_cell_length_c 5.013
_cell_angle_alpha 90.00
_cell_angle_beta 90.00
_cell_angle_gamma 90.00
loop_
_atom_site_label
_atom_site_type_symbol
_atom_site_fract_x
_atom_site_fract_y
_atom_site_fract_z
Y1 Y 0.000 0.000 0.500
Co1 Co 0.000 0.000 0.000
O1 O 0.500 0.500 0.500
```

- Theoretical density: 4.50 g cm⁻³
- ΔE_f (raw): 87.2 meV/atom


[6]
Li3Mn3O5F3: single point on PBEsol structure, SCAN.

```
data_Li3Mn3O5F3
_chemical_formula_sum 'Li3 Mn3 O5 F3'
_space_group_name_H-M_alt 'P 1'
_space_group_IT_number 1
_cell_length_a 5.671
_cell_length_b 5.761
_cell_length_c 5.877
_cell_angle_alpha 92.85
_cell_angle_beta 118.81
_cell_angle_gamma 116.63
loop_
_space_group_symop_operation_xyz
'x,y,z'
loop_
_atom_site_label
_atom_site_type_symbol
_atom_site_fract_x
_atom_site_fract_y
_atom_site_fract_z
Li1 Li 0.000 0.000 0.000
Li2 Li 0.232 0.590 0.881
Li3 Li 0.490 0.196 0.763
Mn1 Mn 0.240 0.596 0.384
Mn2 Mn 0.740 0.583 0.399
Mn3 Mn 0.742 0.101 0.393
O1 O 0.186 0.797 0.595
O2 O 0.295 0.398 0.173
O3 O 0.705 0.841 0.584
O4 O 0.744 0.355 0.602
O5 O 0.777 0.348 0.188
F1 F 0.233 0.842 0.110
F2 F 0.254 0.350 0.657
F3 F 0.739 0.842 0.156
```

- Theoretical density: 3.79 g cm⁻³
- ΔE_f (raw): -2494.7 meV/atom


[7]
CuGeSe2Br: single point on PBEsol structure, SCAN.

```
data_CuGeSe2Br
_chemical_formula_sum 'Cu1 Ge1 Se2 Br1'
_space_group_name_H-M_alt 'P 4/m m m'
_space_group_IT_number 123
_space_group_name_Hall '-P 4 2'
_cell_length_a 4.735
_cell_length_b 4.735
_cell_length_c 4.822
_cell_angle_alpha 90.00
_cell_angle_beta 90.00
_cell_angle_gamma 90.00
loop_
_atom_site_label
_atom_site_type_symbol
_atom_site_fract_x
_atom_site_fract_y
_atom_site_fract_z
Cu1 Cu 0.000 0.000 0.000
Ge1 Ge 0.500 0.500 0.500
Se1 Se 0.000 0.500 0.000
Br1 Br 0.000 0.000 0.500
```

- Theoretical density: 5.74 g cm⁻³
- ΔE_f (raw): 327.8 meV/atom


[8]
K4SrOs: single point on PBEsol structure, SCAN.

```
data_K4SrOs
_chemical_formula_sum 'K16 Sr4 Os4'
_space_group_name_H-M_alt 'F -4 3 m'
_space_group_IT_number 216
_space_group_name_Hall 'F -4 2 3'
_cell_length_a 9.580
_cell_length_b 9.580
_cell_length_c 9.580
_cell_angle_alpha 90.00
_cell_angle_beta 90.00
_cell_angle_gamma 90.00
loop_
_atom_site_label
_atom_site_type_symbol
_atom_site_fract_x
_atom_site_fract_y
_atom_site_fract_z
K1 K 0.122 0.122 0.378
Sr1 Sr 0.000 0.000 0.000
Os1 Os 0.250 0.250 0.750
```

- DFT formation energy: 1.233 eV per atom
- Theoretical density: 3.28 g cm⁻³


[9]
SrTa2Pt: single point on PBEsol structure, SCAN.

```
data_SrTa2Pt
_chemical_formula_sum 'Sr2 Ta4 Pt2'
_space_group_name_H-M_alt 'C m m m'
_space_group_IT_number 65
_space_group_name_Hall '-C 2 2'
_cell_length_a 4.046
_cell_length_b 4.059
_cell_length_c 9.762
_cell_angle_alpha 90.00
_cell_angle_beta 90.00
_cell_angle_gamma 90.00
loop_
_atom_site_label
_atom_site_type_symbol
_atom_site_fract_x
_atom_site_fract_y
_atom_site_fract_z
Sr1 Sr 0.000 0.000 0.000
Ta1 Ta 0.000 0.500 0.299
Pt1 Pt 0.000 0.000 0.500
```

- Energy above the most stable polymorph in this dataset: 0 meV/atom
- DFT formation energy: 0.336 eV per atom
- Theoretical density: 13.36 g cm⁻³


[10]
LaMoSe2Br: single point on PBEsol structure, SCAN.

```
data_LaMoSe2Br
_chemical_formula_sum 'La1 Mo1 Se2 Br1'
_space_group_name_H-M_alt 'P 4/m m m'
_space_group_IT_number 123
_space_group_name_Hall '-P 4 2'
_cell_length_a 5.673
_cell_length_b 5.673
_cell_length_c 5.583
_cell_angle_alpha 90.00
_cell_angle_beta 90.00
_cell_angle_gamma 90.00
loop_
_atom_site_label
_atom_site_type_symbol
_atom_site_fract_x
_atom_site_fract_y
_atom_site_fract_z
La1 La 0.000 0.000 0.000
Mo1 Mo 0.500 0.500 0.500
Se1 Se 0.000 0.500 0.000
Br1 Br 0.000 0.000 0.500
```

- Theoretical density: 4.37 g cm⁻³
- ΔE_f (raw): -115.7 meV/atom


[11]
LaTa2Cl: single point on PBEsol structure, SCAN.

```
data_LaTa2Cl
_chemical_formula_sum 'La3 Ta6 Cl3'
_space_group_name_H-M_alt 'R 3 m'
_space_group_IT_number 160
_space_group_name_Hall 'R 3 -2"'
_cell_length_a 3.3057
_cell_length_b 3.3057
_cell_length_c 27.0028
_cell_angle_alpha 90.00
_cell_angle_beta 90.00
_cell_angle_gamma 120.00
loop_
_atom_site_label
_atom_site_type_symbol
_atom_site_fract_x
_atom_site_fract_y
_atom_site_fract_z
La1 La 0.0000 0.0000 0.0000
Ta1 Ta 0.0000 0.0000 0.4965
Ta2 Ta 0.0000 0.0000 0.7602
Cl1 Cl 0.0000 0.0000 0.2343
```

- Energy above the most stable polymorph in this dataset: 0 meV/atom
- Theoretical density: 10.45 g cm⁻³
- ΔE_f (raw): -123.3 meV/atom


[12]
HgAsAu: single point on PBEsol structure, SCAN.

```
data_HgAsAu
_chemical_formula_sum 'Hg4 As4 Au4'
_space_group_name_H-M_alt 'F m m 2'
_space_group_IT_number 42
_space_group_name_Hall 'F 2 -2'
_cell_length_a 2.866
_cell_length_b 5.289
_cell_length_c 15.411
_cell_angle_alpha 90.00
_cell_angle_beta 90.00
_cell_angle_gamma 90.00
loop_
_atom_site_label
_atom_site_type_symbol
_atom_site_fract_x
_atom_site_fract_y
_atom_site_fract_z
Hg1 Hg 0.000 0.000 0.000
As1 As 0.000 0.000 0.682
Au1 Au 0.000 0.000 0.333
```

- Energy above the most stable polymorph in this dataset: 22 meV/atom
- DFT formation energy: 0.236 eV per atom
- Theoretical density: 13.44 g cm⁻³


[13]
ZrBAs2Se: single point on PBEsol structure, SCAN.

```
data_ZrBAs2Se
_chemical_formula_sum 'Zr1 B1 As2 Se1'
_space_group_name_H-M_alt 'P 4/m m m'
_space_group_IT_number 123
_space_group_name_Hall '-P 4 2'
_cell_length_a 5.130
_cell_length_b 5.130
_cell_length_c 5.077
_cell_angle_alpha 90.00
_cell_angle_beta 90.00
_cell_angle_gamma 90.00
loop_
_atom_site_label
_atom_site_type_symbol
_atom_site_fract_x
_atom_site_fract_y
_atom_site_fract_z
Zr1 Zr 0.000 0.000 0.000
B1 B 0.500 0.500 0.500
As1 As 0.000 0.500 0.000
Se1 Se 0.000 0.000 0.500
```

- Theoretical density: 4.11 g cm⁻³
- ΔE_f (raw): 959.2 meV/atom


[14]
Zn2Sb2Cl: single point on PBEsol structure, SCAN.

```
data_Zn2Sb2Cl
_chemical_formula_sum 'Zn4 Sb4 Cl2'
_space_group_name_H-M_alt 'I 4/m m m'
_space_group_IT_number 139
_space_group_name_Hall '-I 4 2'
_cell_length_a 4.263
_cell_length_b 4.263
_cell_length_c 12.853
_cell_angle_alpha 90.00
_cell_angle_beta 90.00
_cell_angle_gamma 90.00
loop_
_atom_site_label
_atom_site_type_symbol
_atom_site_fract_x
_atom_site_fract_y
_atom_site_fract_z
Zn1 Zn 0.000 0.000 0.093
Sb1 Sb 0.000 0.500 0.250
Cl1 Cl 0.000 0.000 0.500
```

- Theoretical density: 5.83 g cm⁻³
- ΔE_f (raw): 44.6 meV/atom


[15]
RbGeP2: single point on PBEsol structure, SCAN.

```
data_RbGeP2
_chemical_formula_sum 'Rb4 Ge4 P8'
_space_group_name_H-M_alt 'I -4 2 d'
_space_group_IT_number 122
_space_group_name_Hall 'I -4 2bw'
_cell_length_a 7.341
_cell_length_b 7.341
_cell_length_c 7.599
_cell_angle_alpha 90.00
_cell_angle_beta 90.00
_cell_angle_gamma 90.00
loop_
_atom_site_label
_atom_site_type_symbol
_atom_site_fract_x
_atom_site_fract_y
_atom_site_fract_z
Rb1 Rb 0.000 0.000 0.000
Ge1 Ge 0.000 0.000 0.500
P1 P 0.150 0.250 0.625
```

- DFT formation energy: -0.024 eV per atom
- Theoretical density: 3.57 g cm⁻³


[16]
LaW: single point on PBEsol structure, SCAN.

```
data_LaW
_chemical_formula_sum 'La2 W2'
_space_group_name_H-M_alt 'P 63/m m c'
_space_group_IT_number 194
_space_group_name_Hall '-P 6c 2c'
_cell_length_a 3.3006
_cell_length_b 3.3006
_cell_length_c 9.2979
_cell_angle_alpha 90.00
_cell_angle_beta 90.00
_cell_angle_gamma 120.00
loop_
_atom_site_label
_atom_site_type_symbol
_atom_site_fract_x
_atom_site_fract_y
_atom_site_fract_z
La1 La 0.0000 0.0000 0.0000
W1 W 0.3333 0.6667 0.2500
```

- Energy above the most stable polymorph in this dataset: 748 meV/atom
- DFT formation energy: 1.349 eV per atom
- Theoretical density: 12.22 g cm⁻³


[17]
TaHgCl2: single point on PBEsol structure, SCAN.

```
data_TaHgCl2
_chemical_formula_sum 'Ta2 Hg2 Cl4'
_space_group_name_H-M_alt 'I m m 2'
_space_group_IT_number 44
_cell_length_a 2.997
_cell_length_b 4.421
_cell_length_c 13.468
_cell_angle_alpha 90.00
_cell_angle_beta 90.00
_cell_angle_gamma 90.00
loop_
_space_group_symop_operation_xyz
'x,y,z'
'-x,-y,z'
'-x,y,z'
'x,-y,z'
'x+1/2,y+1/2,z+1/2'
'-x+1/2,-y+1/2,z+1/2'
'-x+1/2,y+1/2,z+1/2'
'x+1/2,-y+1/2,z+1/2'
loop_
_atom_site_label
_atom_site_type_symbol
_atom_site_fract_x
_atom_site_fract_y
_atom_site_fract_z
Ta1 Ta 0.000 0.000 0.000
Hg1 Hg 0.000 0.500 0.312
Cl1 Cl 0.000 0.000 0.480
Cl2 Cl 0.000 0.500 0.645
```

- Energy above the most stable polymorph in this dataset: 0 meV/atom
- Theoretical density: 8.42 g cm⁻³
- ΔE_f (raw): -207.4 meV/atom


[18]
La2TlSi: single point on PBEsol structure, SCAN.

```
data_La2TlSi
_chemical_formula_sum 'La4 Tl2 Si2'
_space_group_name_H-M_alt 'C m m m'
_space_group_IT_number 65
_space_group_name_Hall '-C 2 2'
_cell_length_a 7.088
_cell_length_b 8.554
_cell_length_c 3.516
_cell_angle_alpha 90.00
_cell_angle_beta 90.00
_cell_angle_gamma 90.00
loop_
_atom_site_label
_atom_site_type_symbol
_atom_site_fract_x
_atom_site_fract_y
_atom_site_fract_z
La1 La 0.250 0.250 0.000
Tl1 Tl 0.000 0.000 0.500
Si1 Si 0.000 0.500 0.500
```

- Theoretical density: 7.95 g cm⁻³
- ΔE_f (raw): -537.4 meV/atom


[19]
SrCoPd2: single point on PBEsol structure, SCAN.

```
data_SrCoPd2
_chemical_formula_sum 'Sr4 Co4 Pd8'
_space_group_name_H-M_alt 'F m -3 m'
_space_group_IT_number 225
_space_group_name_Hall '-F 4 2 3'
_cell_length_a 6.564
_cell_length_b 6.564
_cell_length_c 6.564
_cell_angle_alpha 90.00
_cell_angle_beta 90.00
_cell_angle_gamma 90.00
loop_
_atom_site_label
_atom_site_type_symbol
_atom_site_fract_x
_atom_site_fract_y
_atom_site_fract_z
Sr1 Sr 0.000 0.000 0.000
Co1 Co 0.000 0.000 0.500
Pd1 Pd 0.250 0.250 0.250
```

- DFT formation energy: 0.071 eV per atom
- Theoretical density: 8.44 g cm⁻³


[20]
Li3VH16O12: single point on PBEsol structure, SCAN.

```
data_Li3VH16O12
_chemical_formula_sum 'Li3 V1 H16 O12'
_space_group_name_H-M_alt 'P 1'
_space_group_IT_number 1
_cell_length_a 5.869
_cell_length_b 6.411
_cell_length_c 7.216
_cell_angle_alpha 89.34
_cell_angle_beta 89.51
_cell_angle_gamma 89.15
loop_
_space_group_symop_operation_xyz
'x,y,z'
loop_
_atom_site_label
_atom_site_type_symbol
_atom_site_fract_x
_atom_site_fract_y
_atom_site_fract_z
Li1 Li 0.000 0.000 0.000
Li2 Li 0.091 0.620 0.490
Li3 Li 0.497 0.115 0.771
V1 V 0.586 0.494 0.272
H1 H 0.000 0.292 0.249
H2 H 0.000 0.634 0.133
H3 H 0.038 0.579 0.843
H4 H 0.045 0.006 0.389
H5 H 0.110 0.033 0.674
H6 H 0.112 0.261 0.766
H7 H 0.254 0.194 0.226
H8 H 0.254 0.676 0.051
H9 H 0.504 0.492 0.648
H10 H 0.505 0.837 0.503
H11 H 0.540 0.496 0.875
H12 H 0.544 0.075 0.427
H13 H 0.607 0.088 0.094
H14 H 0.609 0.852 0.019
H15 H 0.839 0.462 0.734
H16 H 0.839 0.933 0.520
O1 O 0.008 0.493 0.728
O2 O 0.010 0.915 0.502
O3 O 0.085 0.708 0.029
O4 O 0.086 0.159 0.217
O5 O 0.164 0.111 0.788
O6 O 0.430 0.602 0.451
O7 O 0.516 0.619 0.068
O8 O 0.517 0.235 0.255
O9 O 0.571 0.977 0.537
O10 O 0.572 0.414 0.758
O11 O 0.662 0.998 0.987
O12 O 0.874 0.510 0.304
```

- Energy above the most stable polymorph in this dataset: 0 meV/atom
- Theoretical density: 1.71 g cm⁻³